Entry 1:
The following is a DFT calculation (PBE) of a relaxed Tb3ErTe crystal.

Results
Raw formation energy: -343 meV/atom
Density of states at the Fermi level: 1.120 states/eV/atom
Raw total energy: -4.662 eV per atom

a b c (Å): 6.6794 6.6794 9.1379
angles (deg): 95.33 95.33 51.29
With the nearest neighbours (Å) after each atom.
Fractional coordinates of all 10 atoms:
1 Tb 0.0585 0.0585 0.3428  2 Te 3.08-3.31, 2 Tb 3.33-3.44, 2 Er 3.40
2 Tb 0.1394 0.1394 0.9561  1 Te 3.18, 2 Tb 3.44-3.53, 2 Er 3.52
3 Tb 0.3727 0.3727 0.3656  3 Te 3.07-3.25, 1 Er 3.30
4 Tb 0.6273 0.6273 0.6344  3 Te 3.07-3.25, 1 Er 3.30
5 Tb 0.8606 0.8606 0.0439  1 Te 3.18, 2 Tb 3.44-3.53, 2 Er 3.52
6 Tb 0.9415 0.9415 0.6572  2 Te 3.08-3.31, 2 Tb 3.33-3.44, 2 Er 3.40
7 Er 0.4220 0.4220 0.8477  1 Te 3.02, 1 Er 3.19, 1 Tb 3.30
8 Er 0.5780 0.5780 0.1523  1 Te 3.02, 1 Er 3.19, 1 Tb 3.30
9 Te 0.2139 0.2139 0.6327  1 Er 3.02, 6 Tb 3.07-3.31
10 Te 0.7861 0.7861 0.3673  1 Er 3.02, 6 Tb 3.07-3.31



Entry 2:
The following is a DFT calculation (PBE) of a relaxed PaVAsSe crystal.

Results
Raw formation energy: -558 meV/atom
Density of states at the Fermi level: 0.918 states/eV/atom
Raw total energy: -7.245 eV per atom

a b c (Å): 4.7320 4.7320 4.7320
angles (deg): 60.00 60.00 60.00
With the nearest neighbours (Å) after each atom.
Fractional coordinates of all 4 atoms:
1 Pa 0.0000 0.0000 0.0000  4 As 2.90, 4 Se 2.90
2 V 0.5000 0.5000 0.5000  4 Se 2.90, 4 As 2.90
3 As 0.7500 0.7500 0.7500  4 V 2.90, 4 Pa 2.90
4 Se 0.2500 0.2500 0.2500  4 V 2.90, 4 Pa 2.90



Entry 3:
The following is a DFT calculation (PBE) of a relaxed MgZnHIr2 crystal.

Results
Density of states at the Fermi level: 0.766 states/eV/atom
Raw total energy: -4.934 eV per atom

a b c (Å): 3.9574 3.9574 3.9548
angles (deg): 90.00 90.00 90.00
With the nearest neighbours (Å) after each atom.
Fractional coordinates of all 5 atoms:
1 Mg 0.0000 0.0000 0.0000  2 H 1.98
2 Zn 0.5000 0.5000 0.0000  8 Ir 2.80, 4 Mg 2.80
3 H 0.0000 0.0000 0.5000  2 Mg 1.98, 4 Ir 1.98
4 Ir 0.0000 0.5000 0.5000  2 H 1.98
5 Ir 0.5000 0.0000 0.5000  2 H 1.98



Entry 4:
The following is a DFT calculation (PBE) of a relaxed TiFeP crystal.

Results
Formation energy from the elements: -1.07 eV per atom
Density of states at the Fermi level: 0.954 states/eV/atom
Raw total energy: -8.323 eV per atom

a b c (Å): 5.9917 3.6160 6.7945
angles (deg): 90.00 90.00 90.00
With the nearest neighbours (Å) after each atom.
Fractional coordinates of all 12 atoms:
1 Ti 0.0210 0.2500 0.1815  5 P 2.56-2.57, 6 Fe 2.69-2.80
2 Ti 0.4790 0.7500 0.6815  5 P 2.56-2.57, 6 Fe 2.69-2.80
3 Ti 0.5210 0.2500 0.3185  5 P 2.56-2.57, 6 Fe 2.69-2.80
4 Ti 0.9790 0.7500 0.8185  5 P 2.56-2.57, 6 Fe 2.69-2.80
5 Fe 0.1493 0.2500 0.5608  4 P 2.24-2.29
6 Fe 0.3507 0.7500 0.0608  4 P 2.24-2.29
7 Fe 0.6493 0.2500 0.9392  4 P 2.24-2.29
8 Fe 0.8507 0.7500 0.4392  4 P 2.24-2.29
9 P 0.2243 0.7500 0.3790  4 Fe 2.24-2.29
10 P 0.2757 0.2500 0.8790  4 Fe 2.24-2.29
11 P 0.7243 0.7500 0.1210  4 Fe 2.24-2.29
12 P 0.7757 0.2500 0.6210  4 Fe 2.24-2.29



Entry 5:
The following is a DFT calculation (PBE) of a relaxed Hf4Mn7Ge6 crystal.

Results
Formation energy from the elements: -0.37 eV per atom
Density of states at the Fermi level: 0.794 states/eV/atom
Raw total energy: -8.122 eV per atom

a b c (Å): 6.9300 6.9300 6.9300
angles (deg): 109.47 109.47 109.47
With the nearest neighbours (Å) after each atom.
Fractional coordinates of all 17 atoms:
1 Hf 0.0000 0.0000 0.5000  6 Mn 2.83, 6 Ge 2.87
2 Hf 0.0000 0.5000 0.0000  6 Mn 2.83, 6 Ge 2.87
3 Hf 0.5000 0.0000 0.0000  6 Mn 2.83, 6 Ge 2.87
4 Hf 0.5000 0.5000 0.5000  6 Mn 2.83, 6 Ge 2.87
5 Mn 0.0000 0.0000 0.0000  6 Ge 2.50
6 Mn 0.2500 0.5000 0.7500  4 Ge 2.50
7 Mn 0.2500 0.7500 0.5000  4 Ge 2.50
8 Mn 0.5000 0.2500 0.7500  4 Ge 2.50
9 Mn 0.5000 0.7500 0.2500  4 Ge 2.50
10 Mn 0.7500 0.2500 0.5000  4 Ge 2.50
11 Mn 0.7500 0.5000 0.2500  4 Ge 2.50
12 Ge 0.0000 0.3121 0.3121  5 Mn 2.50
13 Ge 0.0000 0.6879 0.6879  5 Mn 2.50
14 Ge 0.3121 0.0000 0.3121  5 Mn 2.50
15 Ge 0.3121 0.3121 0.0000  5 Mn 2.50
16 Ge 0.6879 0.0000 0.6879  5 Mn 2.50
17 Ge 0.6879 0.6879 0.0000  5 Mn 2.50



Entry 6:
The following is a DFT calculation (PBE) of a relaxed Dy6Tl5Pb crystal.

Results
Formation energy from the elements: -0.28 eV per atom
Density of states at the Fermi level: 0.622 states/eV/atom
Raw total energy: -3.874 eV per atom

a b c (Å): 6.4536 6.4536 9.8902
angles (deg): 95.95 95.95 119.13
With the nearest neighbours (Å) after each atom.
Fractional coordinates of all 12 atoms:
1 Dy 0.0802 0.4147 0.2479  5 Tl 3.22-3.26, 1 Pb 3.27
2 Dy 0.2501 0.2501 0.7503  5 Tl 3.23-3.26, 1 Pb 3.23
3 Dy 0.4147 0.0802 0.2479  5 Tl 3.22-3.26, 1 Pb 3.27
4 Dy 0.5853 0.9198 0.7521  5 Tl 3.22-3.26, 1 Pb 3.27
5 Dy 0.7499 0.7499 0.2497  5 Tl 3.23-3.26, 1 Pb 3.23
6 Dy 0.9198 0.5853 0.7521  5 Tl 3.22-3.26, 1 Pb 3.27
7 Tl 0.0000 0.0000 0.0000  6 Dy 3.23-3.24
8 Tl 0.1679 0.8321 0.5000  6 Dy 3.24-3.26
9 Tl 0.3344 0.6656 0.0000  6 Dy 3.22-3.24
10 Tl 0.6656 0.3344 0.0000  6 Dy 3.22-3.24
11 Tl 0.8321 0.1679 0.5000  6 Dy 3.24-3.26
12 Pb 0.5000 0.5000 0.5000  6 Dy 3.23-3.27